Record 1
# ZnInI3

An optimized crystal structure of ZnInI3 (PBE, Alexandria via LeMat-Bulk).

Geometry as POSCAR:
```
ZnInI3
1.0
5.6666 0.0000 0.0000
0.0000 5.6666 0.0000
0.0000 0.0000 5.6666
Zn In I
1 1 3
Cartesian
0.0000 0.0000 0.0000
2.8333 2.8333 2.8333
0.0000 0.0000 2.8333
0.0000 2.8333 0.0000
2.8333 0.0000 0.0000
```

M_tot = 0.0 μB/f.u.
total energy = -10.37 eV/cell
uncorrected formation energy = -0.341 eV/atom
space group = Pm-3m (221)
ΔE to the lowest computed polymorph = 180 meV/atom

***

Record 2
# Mn2SbAs

An optimized crystal structure of Mn2SbAs (PBE, Alexandria via LeMat-Bulk).

Geometry as POSCAR:
```
Mn2SbAs
1.0
-1.5552 1.8391 6.1982
1.5552 -1.8391 6.1982
1.5552 1.8391 -6.1982
Mn Sb As
2 1 1
Cartesian
0.0000 0.0000 0.0000
0.0000 1.8391 3.7994
1.5552 0.0000 2.3503
0.0000 0.0000 5.4738
```

M_tot = 5.7 μB/f.u.
total energy = -27.02 eV/cell
uncorrected formation energy = 0.024 eV/atom
space group = Imm2 (44)

***

Record 3
# Be2TcMo2

An optimized crystal structure of Be2TcMo2 (PBE, Alexandria via LeMat-Bulk).

Geometry as POSCAR:
```
Be2TcMo2
1.0
6.1907 0.0000 0.0000
0.0000 6.1907 0.0000
0.0000 0.0000 3.1920
Be Tc Mo
4 2 4
Cartesian
0.7452 2.3501 0.0000
2.3501 5.4455 0.0000
3.8406 0.7452 0.0000
5.4455 3.8406 0.0000
0.0000 0.0000 0.0000
3.0954 3.0954 0.0000
1.0803 4.1756 1.5960
2.0151 1.0803 1.5960
4.1756 5.1105 1.5960
5.1105 2.0151 1.5960
```

M_tot = 0.0 μB/f.u.
calculated formation energy = -0.20 eV per atom
total energy = -80.95 eV/cell
space group = P4/mbm (127)

***

Record 4
# GaHg2Pb

An optimized crystal structure of GaHg2Pb (PBE, Alexandria via LeMat-Bulk).

Geometry as POSCAR:
```
GaHg2Pb
1.0
1.7966 1.0373 9.2996
-1.7966 1.0373 9.2996
0.0000 -2.0745 9.2996
Ga Hg Pb
1 2 1
Cartesian
0.0000 0.0000 0.0000
0.0000 0.0000 11.3876
0.0000 0.0000 16.5643
0.0000 0.0000 23.3089
```

M_tot = 0.0 μB/f.u.
calculated formation energy = 0.06 eV per atom
total energy = -7.12 eV/cell
space group = R3m (160)

***

Record 5
# Pt2Pb

An optimized crystal structure of Pt2Pb (PBE, Alexandria via LeMat-Bulk).

Geometry as POSCAR:
```
Pt2Pb
1.0
6.5026 0.0000 0.0000
0.0000 6.5026 0.0000
0.0000 0.0000 6.5026
Pt Pb
8 4
Cartesian
0.7455 0.7455 0.7455
0.7455 2.5058 3.9968
2.5058 3.9968 0.7455
2.5058 5.7571 3.9968
3.9968 0.7455 2.5058
3.9968 2.5058 5.7571
5.7571 3.9968 2.5058
5.7571 5.7571 5.7571
0.0000 0.0000 3.2513
0.0000 3.2513 0.0000
3.2513 0.0000 0.0000
3.2513 3.2513 3.2513
```

M_tot = 0.0 μB/f.u.
calculated formation energy = 0.38 eV per atom
total energy = -58.60 eV/cell
space group = Pa-3 (205)

***

Record 6
# La2Tc

An optimized crystal structure of La2Tc (PBE, Alexandria via LeMat-Bulk).

Geometry as POSCAR:
```
La2Tc
1.0
1.9733 -7.4006 0.0000
1.9733 7.4006 0.0000
0.0000 0.0000 5.8268
La Tc
4 2
Cartesian
1.9733 6.3070 4.3701
1.9733 4.6045 1.4567
1.9733 -4.6045 4.3701
1.9733 -6.3070 1.4567
1.9733 0.7810 4.3701
1.9733 -0.7810 1.4567
```

M_tot = 0.0 μB/f.u.
calculated formation energy = 0.16 eV per atom
total energy = -39.51 eV/cell
space group = Cmcm (63)
ΔE to the lowest computed polymorph = 121 meV/atom

***

Record 7
# Mg2ZnReO6

An optimized crystal structure of Mg2ZnReO6 (PBE, Alexandria via LeMat-Bulk).

Geometry as POSCAR:
```
Mg2ZnReO6
1.0
5.2115 0.0000 0.0000
-2.6007 4.5174 0.0000
-2.6002 -1.5103 4.7074
Mg Zn Re O
2 1 1 6
Cartesian
0.0000 0.0000 0.0000
-2.5988 1.5073 2.4075
0.0012 3.0119 1.4935
0.0065 -0.0019 4.2505
-1.0880 1.4845 0.8759
-1.6449 -0.0893 3.3542
-1.6871 3.1299 3.3489
1.8316 0.2039 0.8736
0.7585 1.4749 3.3548
1.8695 2.8325 0.8770
```

M_tot = 1.0 μB/f.u.
total energy = -66.06 eV/cell
uncorrected formation energy = -1.940 eV/atom
space group = P1 (1)

***

Record 8
# TcWN2

An optimized crystal structure of TcWN2 (PBE, Alexandria via LeMat-Bulk).

Geometry as POSCAR:
```
TcWN2
1.0
-2.0586 2.0586 5.6267
2.0586 -2.0586 5.6267
2.0586 2.0586 -5.6267
Tc W N
2 2 4
Cartesian
0.0000 0.0000 0.0000
0.0000 2.0586 2.8134
2.0586 0.0000 2.8134
0.0000 0.0000 5.6267
1.0293 -0.9927 4.2200
1.0659 1.0293 1.4067
1.0293 3.0513 -1.4067
0.9927 1.0293 7.0334
```

M_tot = 0.0 μB/f.u.
total energy = -79.61 eV/cell
uncorrected formation energy = 0.042 eV/atom
space group = I-42d (122)
ΔE to the lowest computed polymorph = 0 meV/atom

***

Record 9
# Cs2HfBiCl6

An optimized crystal structure of Cs2HfBiCl6 (PBE, Alexandria via LeMat-Bulk).

Geometry as POSCAR:
```
Cs2HfBiCl6
1.0
-3.8864 3.8864 6.4570
3.8864 -3.8864 6.4570
3.8864 3.8864 -6.4570
Cs Hf Bi Cl
2 1 1 6
Cartesian
3.8864 0.0000 3.2285
0.0000 3.8864 3.2285
0.0000 0.0000 0.0000
0.0000 0.0000 6.4570
0.0000 0.0000 2.4748
1.7453 1.7453 0.0000
2.1410 -2.1410 6.4570
-2.1410 2.1410 6.4570
2.1410 2.1410 6.4570
0.0000 0.0000 10.4393
```

M_tot = 1.0 μB/f.u.
total energy = -41.20 eV/cell
uncorrected formation energy = -1.458 eV/atom
space group = I4/mmm (139)

***

Record 10
# Na2CdPtC

An optimized crystal structure of Na2CdPtC (PBE, Alexandria via LeMat-Bulk).

Geometry as POSCAR:
```
Na2CdPtC
1.0
5.5033 0.0000 0.0000
0.0000 5.5033 0.0000
0.0000 0.0000 5.1803
Na Cd Pt C
2 1 1 1
Cartesian
0.0000 2.7517 0.0000
2.7517 0.0000 0.0000
0.0000 0.0000 2.5901
0.0000 0.0000 0.0000
2.7517 2.7517 2.5901
```

M_tot = 2.8 μB/f.u.
calculated formation energy = 1.24 eV per atom
total energy = -12.64 eV/cell
space group = P4/mmm (123)

***

Record 11
# TiInIr3

An optimized crystal structure of TiInIr3 (PBE, Alexandria via LeMat-Bulk).

Geometry as POSCAR:
```
TiInIr3
1.0
4.6112 0.0000 0.0000
0.0000 4.6112 0.0000
0.0000 0.0000 4.6112
Ti In Ir
1 1 3
Cartesian
0.0000 0.0000 0.0000
2.3056 2.3056 2.3056
0.0000 0.0000 2.3056
0.0000 2.3056 0.0000
2.3056 0.0000 0.0000
```

M_tot = 0.0 μB/f.u.
calculated formation energy = 0.87 eV per atom
total energy = -32.87 eV/cell
space group = Pm-3m (221)
ΔE to the lowest computed polymorph = 0 meV/atom

***

Record 12
# InHOF2

An optimized crystal structure of InHOF2 (PBE, Alexandria via LeMat-Bulk).

Geometry as POSCAR:
```
InHOF2
1.0
3.2239 0.0000 0.0000
0.0000 3.2239 0.0000
0.0000 0.0000 4.2548
In H O F
1 1 1 2
Cartesian
0.0000 0.0000 0.0000
1.6119 1.6119 2.1274
1.6119 1.6119 0.0000
0.0000 1.6119 2.1274
1.6119 0.0000 2.1274
```

M_tot = 0.0 μB/f.u.
total energy = -19.78 eV/cell
space group = P4/mmm (123)
ΔE to the lowest computed polymorph = 0 meV/atom